Nd2Dy7Sc2 | PBE | optimized geometry

Values from the calculation:
As for the symmetry: C2/m (12). The total magnetic moment comes out at 0.000 μB per atom. The density of states at the Fermi level is 16.22 states/eV/cell. For the final energy, the calculation gives -0.3486 Ry per atom. The value obtained for the formation enthalpy at 0 K is 203.9 meV per atom. As for the excess energy over the best structure of this formula in the dataset: 35.5 meV per atom.

abc: 7.967 5.931 7.967
angles: 74.17 88.82 105.83
Positions (direct):
Nd  0.781  0.000  0.781
Nd  0.219  0.000  0.219
Dy  0.944  0.668  0.594
Dy  0.406  0.668  0.056
Dy  0.243  0.098  0.757
Dy  0.000  0.500  0.000
Dy  0.757  0.902  0.243
Dy  0.056  0.332  0.406
Dy  0.594  0.332  0.944
Sc  0.414  0.701  0.586
Sc  0.586  0.299  0.414